The following is a DFT calculation (PBE+U) of an optimized crystal structure of ZnCoF3.

```
ZnCoF3
1.0
4.0415 0.0000 0.0000
0.0000 4.0415 0.0000
0.0000 0.0000 4.0415
Zn Co F
1 1 3
direct
0.0000 0.0000 0.0000 Zn
0.5000 0.5000 0.5000 Co
0.0000 0.5000 0.5000 F
0.5000 0.0000 0.5000 F
0.5000 0.5000 0.0000 F
```

Properties
Magnetic moment   2.49 μB per formula unit
Excess energy over the best structure of this formula in the dataset   0 meV per atom
Space group   Pm-3m (221)
Calculated total energy   -18.88 eV/cell